Computed, not measured: a relaxed structure of Ba3PuSb3 at the PBE level of DFT.

Cell and atoms, written as CIF:
```
data_Ba3PuSb3
_chemical_formula_sum 'Ba6 Pu2 Sb6'
_cell_length_a 8.850
_cell_length_b 8.850
_cell_length_c 8.819
_cell_angle_alpha 93.54
_cell_angle_beta 93.54
_cell_angle_gamma 113.46
_symmetry_space_group_name_H-M 'P 1'
_symmetry_Int_Tables_number 1
loop_
_symmetry_equiv_pos_as_xyz
'x,y,z'
loop_
_atom_site_label
_atom_site_fract_x
_atom_site_fract_y
_atom_site_fract_z
Ba1 0.168 0.832 0.000
Ba2 0.225 0.775 0.500
Ba3 0.386 0.386 0.142
Ba4 0.614 0.614 0.858
Ba5 0.775 0.225 0.500
Ba6 0.832 0.168 0.000
Pu1 0.207 0.207 0.625
Pu2 0.793 0.793 0.375
Sb1 0.085 0.085 0.290
Sb2 0.162 0.490 0.788
Sb3 0.490 0.162 0.788
Sb4 0.510 0.838 0.212
Sb5 0.838 0.510 0.212
Sb6 0.915 0.915 0.710
```

ΔE_f (raw): -0.79 eV per atom
Symmetry: C2/m
Final energy: -75.9 eV per cell